PBE with a Hubbard U RbCoF3, relaxed; total magnetization = 18.00 Bohr magnetons per cell; volume = 458.3 Å³ per cell; E = -23.51 eV per formula unit
1.0
-4.965 2.425 -2.351
-0.297 -3.015 5.185
2.579 12.425 7.371
Rb Co F
6 6 18
direct
0.000 0.000 0.750 Rb
0.667 0.333 0.903 Rb
0.333 0.667 0.403 Rb
0.667 0.333 0.597 Rb
0.333 0.667 0.097 Rb
0.000 0.000 0.250 Rb
0.333 0.667 0.653 Co
0.667 0.333 0.153 Co
0.667 0.333 0.347 Co
0.000 0.000 0.000 Co
0.000 0.000 0.500 Co
0.333 0.667 0.847 Co
0.036 0.518 0.750 F
0.518 0.482 0.250 F
0.331 0.165 0.420 F
0.669 0.835 0.920 F
0.165 0.331 0.580 F
0.835 0.669 0.420 F
0.835 0.669 0.080 F
0.331 0.165 0.080 F
0.165 0.835 0.920 F
0.964 0.482 0.250 F
0.165 0.835 0.580 F
0.835 0.165 0.420 F
0.482 0.964 0.750 F
0.518 0.036 0.250 F
0.165 0.331 0.920 F
0.482 0.518 0.750 F
0.669 0.835 0.580 F
0.835 0.165 0.080 F